[1]
Material: Ba2ZnPt2
Method: DFT, PBE
State: relaxed

a b c (Å): 3.960 3.960 9.894
angles (deg): 78.46 78.46 90.00
Sites, in units of the cell vectors:
Zn1 0.000 0.000 0.000
Ba1 0.381 0.381 0.238
Ba2 0.619 0.619 0.762
Pt1 0.750 0.250 0.500
Pt2 0.250 0.750 0.500

The calculation puts the density of states at the Fermi level at 6.248 states/eV per cell. Its space group is I4/mmm (139). The value obtained for the total magnetic moment is 0.0 μB per formula unit. The calculation puts the energy of formation from the pure elements at -27.8 kJ per mole of atoms.



[2]
Material: LaGdTlPb
Method: DFT, PBE
State: relaxed

a b c (Å): 5.558 5.558 5.558
angles (deg): 60.00 60.00 60.00
Each line ends with the local moment (μB).
Sites, in units of the cell vectors:
Pb1 0.500 0.500 0.500  0.03
Tl1 0.000 0.000 0.000  0.01
Gd1 0.250 0.250 0.250  -7.04
La1 0.750 0.750 0.750  -0.03

The calculation puts the density of states at the Fermi level at 5.013 states/eV per cell. Its space group is F-43m (216). The value obtained for the total magnetic moment is 7.2 μB per formula unit. The calculation puts the energy of formation from the pure elements at -42.6 kJ per mole of atoms.



[3]
Material: SbSeBr
Method: DFT, PBE
State: relaxed

a b c (Å): 7.092 7.092 7.092
angles (deg): 150.43 150.43 42.32
Sites, in units of the cell vectors:
Br1 0.971 0.971 0.000
Sb1 0.319 0.319 0.000
Se1 0.710 0.710 0.000

The calculation puts the density of states at the Fermi level at 0.862 states/eV per cell. Its space group is I4mm (107). The value obtained for the total magnetic moment is 0.0 μB per formula unit. Its energy is -3.20 eV/atom.



[4]
Material: LiSc2InFe
Method: DFT, PBE
State: relaxed

a b c (Å): 5.011 5.011 5.307
angles (deg): 90.00 90.00 90.00
Sites, in units of the cell vectors:
Sc1 0.000 0.500 0.000
Sc2 0.500 0.000 0.000
Li1 0.500 0.500 0.500
Fe1 0.000 0.000 0.000
In1 0.000 0.000 0.500

The calculation puts the density of states at the Fermi level at 4.224 states/eV per cell. Its space group is P4/mmm (123). The value obtained for the total magnetic moment is 0.0 μB per formula unit. The calculation puts the energy of formation from the pure elements at 8.6 kJ per mole of atoms.



[5]
Material: Ba3ErSb2O8
Method: DFT, PBE
State: relaxed

a b c (Å): 6.144 6.144 8.062
angles (deg): 90.00 90.00 120.00
Each line ends with the local moment (μB).
Sites, in units of the cell vectors:
Ba1 0.333 0.667 0.638  0.01
Ba2 0.667 0.333 0.362  0.01
Ba3 0.000 0.000 0.000  0.00
Er1 0.000 0.000 0.500  0.05
Sb1 0.333 0.667 0.199  0.05
Sb2 0.667 0.333 0.801  0.05
O1 0.333 0.667 0.943  0.10
O2 0.667 0.333 0.057  0.10
O3 0.167 0.833 0.333  0.04
O4 0.833 0.167 0.667  0.04
O5 0.167 0.335 0.333  0.04
O6 0.833 0.665 0.667  0.04
O7 0.665 0.833 0.333  0.04
O8 0.335 0.167 0.667  0.04

The calculation puts the density of states at the Fermi level at 5.927 states/eV per cell. Its space group is P-3m1 (164). The value obtained for the total magnetic moment is 0.7 μB per formula unit. Its energy is -6.33 eV/atom.



[6]
Material: BaPBr2
Method: DFT, PBE
State: relaxed

a b c (Å): 8.498 8.498 8.498
angles (deg): 150.95 152.27 40.59
Sites, in units of the cell vectors:
Ba1 0.185 0.685 0.500
Br1 0.022 0.022 0.000
Br2 0.772 0.272 0.500
P1 0.522 0.522 0.000

The calculation puts the density of states at the Fermi level at 1.704 states/eV per cell. The energy above the lowest structure with this stoichiometry is 112 meV/atom. Its space group is Imm2 (44). The value obtained for the total magnetic moment is 0.0 μB per formula unit.